--- 1 ---
First-principles (PBE) data for MnNbB2 after structural relaxation, as listed in Alexandria via LeMat-Bulk.

abc: 3.369 5.403 8.769
angles: 90.00 90.00 90.00
Each line ends with the local moment (μB).
Atoms (fractional coordinates):
Mn  0.250  0.634  0.938  0.05
Mn  0.250  0.134  0.562  0.05
Mn  0.750  0.866  0.438  0.05
Mn  0.750  0.366  0.062  0.05
Nb  0.750  0.880  0.140  -0.01
Nb  0.250  0.620  0.640  -0.01
Nb  0.750  0.380  0.360  -0.01
Nb  0.250  0.120  0.860  -0.01
B  0.750  0.975  0.669  0.00
B  0.750  0.475  0.831  0.00
B  0.250  0.025  0.331  0.00
B  0.750  0.802  0.846  0.00
B  0.250  0.698  0.346  0.00
B  0.250  0.198  0.154  0.00
B  0.750  0.302  0.654  0.00
B  0.250  0.525  0.169  0.00

Values from the calculation:
- space-group type = Pnma (62)
- magnetic moment (μB per formula unit) = 0.05
- crystal system = orthorhombic

--- 2 ---
First-principles (PBE) data for MnNbB2 after structural relaxation, as listed in Alexandria via LeMat-Bulk.

abc: 3.561 3.561 7.594
angles: 76.44 76.44 90.00
Atoms (fractional coordinates):
Mn  0.500  0.500  0.000
Mn  0.250  0.750  0.500
B  0.375  0.625  0.250
B  0.875  0.625  0.750
B  0.375  0.625  0.750
B  0.375  0.125  0.250
Nb  0.750  0.250  0.500
Nb  0.000  0.000  0.000

Values from the calculation:
- space-group type = I4_1/amd (141)
- magnetic moment (μB per formula unit) = 0.00
- crystal system = tetragonal

Which of them is the least stable? Correct choice: 2.

--- 1 ---
First-principles (PBE) data for MnNi5B after structural relaxation, as listed in Alexandria via LeMat-Bulk.

abc: 4.958 4.958 7.965
angles: 65.79 65.79 77.50
Each line ends with the local moment (μB).
Atoms (fractional coordinates):
Ni  0.743  0.485  0.507  0.36
Ni  0.644  0.834  0.228  0.29
Ni  0.515  0.257  0.993  0.36
Ni  0.485  0.743  0.007  0.36
Ni  0.257  0.515  0.493  0.36
Ni  0.166  0.356  0.272  0.29
Ni  0.834  0.644  0.728  0.29
Ni  0.356  0.166  0.772  0.29
Ni  0.903  0.097  0.750  0.27
Ni  0.097  0.903  0.250  0.27
B  0.000  0.000  0.500  -0.04
B  0.000  0.000  0.000  -0.04
Mn  0.695  0.305  0.250  3.70
Mn  0.305  0.695  0.750  3.70

Values from the calculation:
- space-group type = C2/c (15)
- magnetic moment (μB per formula unit) = 5.28
- crystal system = monoclinic

--- 2 ---
First-principles (PBE) data for MnNi5B after structural relaxation, as listed in Alexandria via LeMat-Bulk.

abc: 3.468 3.468 6.123
angles: 90.00 90.00 90.00
Each line ends with the local moment (μB).
Atoms (fractional coordinates):
Ni  0.000  0.500  0.803  0.12
Ni  0.500  0.000  0.803  0.12
Ni  0.500  0.000  0.197  0.12
Ni  0.000  0.500  0.197  0.12
Ni  0.500  0.500  0.500  0.27
B  0.500  0.500  0.000  -0.04
Mn  0.000  0.000  0.500  3.08

Values from the calculation:
- space-group type = P4/mmm (123)
- magnetic moment (μB per formula unit) = 3.74
- crystal system = tetragonal

Which of them is the least stable? Correct choice: 1.